Entry 1:
AlV2HgO8: relaxed, PBE with a Hubbard U.

Results
Total magnetic moment: 0.8 μB/f.u.
E: -77.997 eV for the cell shown

a = 5.5832 Å, b = 5.5832 Å, c = 6.0727 Å
α = 90.00°, β = 90.00°, γ = 120.00°
Element x y z (fractional)
Al 0.0000 0.0000 0.5000
V 0.6667 0.3333 0.2255
V 0.3333 0.6667 0.7745
Hg 0.0000 0.0000 0.0000
O 0.3333 0.6667 0.0457
O 0.3133 0.1570 0.3106
O 0.8430 0.1564 0.3106
O 0.6667 0.3333 0.9543
O 0.1570 0.8436 0.6894
O 0.6867 0.8430 0.6894
O 0.1564 0.3133 0.6894
O 0.8436 0.6867 0.3106

Entry 2:
Al2HgWO8: relaxed, PBE with a Hubbard U.

Results
Total magnetic moment: 0.0 μB/f.u.
E: -75.675 eV for the cell shown

a = 4.6301 Å, b = 4.6281 Å, c = 6.2537 Å
α = 87.99°, β = 92.01°, γ = 91.54°
Element x y z (fractional)
Al 0.4965 0.5035 0.7565
Al 0.5035 0.4965 0.2435
Hg 0.0000 0.0000 0.5000
W 0.0000 0.0000 0.0000
O 0.2218 0.7775 0.1988
O 0.6945 0.6950 0.0000
O 0.7989 0.2016 0.2279
O 0.7782 0.2225 0.8012
O 0.3055 0.3050 0.0000
O 0.2011 0.7984 0.7721
O 0.6669 0.6676 0.5000
O 0.3331 0.3324 0.5000

Q: Among the records above, which one has the highest total magnetic moment?
A: AlV2HgO8